(1)
Computed, not measured: a PBEsol-optimized structure of SrInRu2 at the meta-GGA SCAN level of DFT.

Structure (CIF):
```
data_SrInRu2
_chemical_formula_sum 'Sr1 In1 Ru2'
_cell_length_a 2.9811
_cell_length_b 2.9811
_cell_length_c 8.6024
_cell_angle_alpha 90.00
_cell_angle_beta 90.00
_cell_angle_gamma 90.00
_symmetry_space_group_name_H-M 'P 4 m m'
_symmetry_Int_Tables_number 99
loop_
_symmetry_equiv_pos_as_xyz
'x,y,z'
'-y,x,z'
'-x,-y,z'
'y,-x,z'
'-x,y,z'
'y,x,z'
'x,-y,z'
'-y,-x,z'
loop_
_atom_site_label
_atom_site_type_symbol
_atom_site_fract_x
_atom_site_fract_y
_atom_site_fract_z
_atom_site_occupancy
Sr1 Sr 0.0000 0.0000 0.0000 1
In1 In 0.5000 0.5000 0.3220 1
Ru1 Ru 0.0000 0.0000 0.5550 1
Ru2 Ru 0.5000 0.5000 0.7228 1
```

Computed properties:
Its formation energy is 0.194 eV/atom. Its crystal system is tetragonal.

***

(2)
Computed, not measured: a PBEsol-optimized structure of K2RbScBr6 at the meta-GGA SCAN level of DFT.

Structure (CIF):
```
data_K2RbScBr6
_chemical_formula_sum 'K8 Rb4 Sc4 Br24'
_cell_length_a 11.5181
_cell_length_b 11.5181
_cell_length_c 11.5181
_cell_angle_alpha 90.00
_cell_angle_beta 90.00
_cell_angle_gamma 90.00
_symmetry_space_group_name_H-M 'F m -3 m'
_symmetry_Int_Tables_number 225
_symmetry_space_group_name_Hall '-F 4 2 3'
loop_
_atom_site_label
_atom_site_type_symbol
_atom_site_fract_x
_atom_site_fract_y
_atom_site_fract_z
_atom_site_occupancy
K1 K 0.2500 0.2500 0.2500 1
Rb1 Rb 0.0000 0.0000 0.0000 1
Sc1 Sc 0.0000 0.0000 0.5000 1
Br1 Br 0.0000 0.0000 0.2730 1
```

Computed properties:
Its crystal system is cubic. For the energy relative to the elements, uncorrected, the calculation gives -1794 kJ/mol of formula units.

***

(3)
Computed, not measured: a PBEsol-optimized structure of TbHo3 at the meta-GGA SCAN level of DFT.

Structure (CIF):
```
data_TbHo3
_chemical_formula_sum 'Tb1 Ho3'
_cell_length_a 4.8814
_cell_length_b 4.8814
_cell_length_c 4.8814
_cell_angle_alpha 90.00
_cell_angle_beta 90.00
_cell_angle_gamma 90.00
_symmetry_space_group_name_H-M 'P m -3 m'
_symmetry_Int_Tables_number 221
_symmetry_space_group_name_Hall '-P 4 2 3'
loop_
_atom_site_label
_atom_site_type_symbol
_atom_site_fract_x
_atom_site_fract_y
_atom_site_fract_z
_atom_site_occupancy
Tb1 Tb 0.0000 0.0000 0.0000 1
Ho1 Ho 0.0000 0.5000 0.5000 1
```

Computed properties:
Its formation energy is 0.020 eV/atom. Its crystal system is cubic.

***

(4)
Computed, not measured: a PBEsol-optimized structure of LiMgCd at the meta-GGA SCAN level of DFT.

Structure (CIF):
```
data_LiMgCd
_chemical_formula_sum 'Li1 Mg1 Cd1'
_cell_length_a 4.7450
_cell_length_b 4.7450
_cell_length_c 2.9182
_cell_angle_alpha 90.00
_cell_angle_beta 90.00
_cell_angle_gamma 120.00
_symmetry_space_group_name_H-M 'P 3 m 1'
_symmetry_Int_Tables_number 156
loop_
_symmetry_equiv_pos_as_xyz
'x,y,z'
'-y,x-y,z'
'-x+y,-x,z'
'-y,-x,z'
'-x+y,y,z'
'x,x-y,z'
loop_
_atom_site_label
_atom_site_type_symbol
_atom_site_fract_x
_atom_site_fract_y
_atom_site_fract_z
_atom_site_occupancy
Li1 Li 0.0000 0.0000 0.0000 1
Mg1 Mg 0.3333 0.6667 0.3212 1
Cd1 Cd 0.6667 0.3333 0.7221 1
```

Computed properties:
Its formation energy is -0.226 eV/atom. Its crystal system is trigonal.

***

(5)
Computed, not measured: a PBEsol-optimized structure of ZrNiSe3 at the meta-GGA SCAN level of DFT.

Structure (CIF):
```
data_ZrNiSe3
_chemical_formula_sum 'Zr1 Ni1 Se3'
_cell_length_a 4.5834
_cell_length_b 4.5834
_cell_length_c 4.5834
_cell_angle_alpha 90.00
_cell_angle_beta 90.00
_cell_angle_gamma 90.00
_symmetry_space_group_name_H-M 'P m -3 m'
_symmetry_Int_Tables_number 221
_symmetry_space_group_name_Hall '-P 4 2 3'
loop_
_atom_site_label
_atom_site_type_symbol
_atom_site_fract_x
_atom_site_fract_y
_atom_site_fract_z
_atom_site_occupancy
Zr1 Zr 0.0000 0.0000 0.0000 1
Ni1 Ni 0.5000 0.5000 0.5000 1
Se1 Se 0.0000 0.5000 0.5000 1
```

Computed properties:
Its crystal system is cubic. For the energy relative to the elements, uncorrected, the calculation gives -79 kJ/mol of formula units.

***

(6)
Computed, not measured: a PBEsol-optimized structure of Cr2ReSe at the meta-GGA SCAN level of DFT.

Structure (CIF):
```
data_Cr2ReSe
_chemical_formula_sum 'Cr6 Re3 Se3'
_cell_length_a 2.7890
_cell_length_b 2.7890
_cell_length_c 23.6445
_cell_angle_alpha 90.00
_cell_angle_beta 90.00
_cell_angle_gamma 120.00
_symmetry_space_group_name_H-M 'R -3 m'
_symmetry_Int_Tables_number 166
_symmetry_space_group_name_Hall '-R 3 2"'
loop_
_atom_site_label
_atom_site_type_symbol
_atom_site_fract_x
_atom_site_fract_y
_atom_site_fract_z
_atom_site_occupancy
Cr1 Cr 0.0000 0.0000 0.2472 1
Re1 Re 0.0000 0.0000 0.0000 1
Se1 Se 0.0000 0.0000 0.5000 1
```

Computed properties:
Its crystal system is trigonal. For the energy relative to the elements, uncorrected, the calculation gives 134 kJ/mol of formula units.

***

Number 1: E_tot -1.144 hartree per atom. Number 2: E_tot -0.687 hartree per atom. Number 3: E_tot -1.779 hartree per atom. Number 4: E_tot -0.471 hartree per atom. Number 5: E_tot -0.793 hartree per atom. Number 6: E_tot -1.163 hartree per atom.